Material: Bi10Te2Br4O17
Method: DFT, meta-GGA SCAN
State: PBEsol geometry

Properties
The raw formation energy is -1.12 eV per atom. For the total energy, the calculation gives -32.758 eV per atom. Its space group is No. 107.

Cell: 18.796 18.796 18.796 Å, 163.07 163.07 24.03°
Fractional coordinates of all 33 atoms:
Bi  0.000  0.000  0.000
Bi  0.109  0.109  0.000
Bi  0.179  0.679  0.500
Bi  0.249  0.249  0.000
Bi  0.430  0.930  0.500
Bi  0.495  0.495  0.000
Bi  0.609  0.609  0.000
Bi  0.679  0.179  0.500
Bi  0.749  0.749  0.000
Bi  0.930  0.430  0.500
Te  0.369  0.369  0.000
Te  0.856  0.856  0.000
Br  0.049  0.549  0.500
Br  0.301  0.801  0.500
Br  0.549  0.049  0.500
Br  0.801  0.301  0.500
O  0.112  0.112  0.461
O  0.112  0.651  0.000
O  0.209  0.209  0.484
O  0.209  0.725  0.000
O  0.388  0.388  0.500
O  0.388  0.888  0.000
O  0.420  0.420  0.000
O  0.468  0.468  0.500
O  0.468  0.968  0.000
O  0.651  0.112  0.000
O  0.651  0.651  0.539
O  0.725  0.209  0.000
O  0.725  0.725  0.516
O  0.888  0.388  0.000
O  0.888  0.888  0.500
O  0.968  0.468  0.000
O  0.968  0.968  0.500